## Tl2AgMoF6 (PBE with a Hubbard U)

Data for a geometry-optimized Tl2AgMoF6 structure.

Cell: 6.2926 9.0264 6.5831 Å, 90.00 90.00 90.00°
Closest atoms and distances in Å follow each position.
Fractional positions:
Tl1 0.2500 0.0180 0.2234  7 F 2.90-3.15
Tl2 0.2500 0.4820 0.2234  7 F 2.90-3.15
Tl3 0.7500 0.5180 0.7766  7 F 2.90-3.15
Tl4 0.7500 0.9820 0.7766  7 F 2.90-3.15
Ag1 0.2500 0.2500 0.7225  6 F 2.42-2.49
Ag2 0.7500 0.7500 0.2775  6 F 2.42-2.49
Mo1 0.2500 0.7500 0.7700  6 F 2.10-2.11
Mo2 0.7500 0.2500 0.2300  6 F 2.10-2.11
F1 0.0051 0.7500 0.5535  1 Mo 2.10
F2 0.0060 0.7500 0.9895  1 Mo 2.11
F3 0.2500 0.5174 0.7856  1 Mo 2.10
F4 0.2500 0.9826 0.7856  1 Mo 2.10
F5 0.4940 0.7500 0.9895  1 Mo 2.11
F6 0.4949 0.7500 0.5535  1 Mo 2.10
F7 0.5051 0.2500 0.4465  1 Mo 2.10
F8 0.5060 0.2500 0.0105  1 Mo 2.11
F9 0.7500 0.0174 0.2144  1 Mo 2.10
F10 0.7500 0.4826 0.2144  1 Mo 2.10
F11 0.9940 0.2500 0.0105  1 Mo 2.11
F12 0.9949 0.2500 0.4465  1 Mo 2.10

## Properties
- M_tot (μB per formula unit) = 3.0
- theoretical density (g cm⁻³) = 6.45
- energy (eV for the cell shown) = -91.3